Material: TiWO2F
Method: DFT, PBE with a Hubbard U
State: optimized geometry

```
TiWO2F
1.0
3.972 0.000 0.000
0.000 3.972 0.000
0.000 0.000 3.964
Ti W O F
1 1 2 1
direct
0.000 0.000 0.000 Ti
0.500 0.500 0.500 W
0.000 0.500 0.000 O
0.500 0.000 0.000 O
0.000 0.000 0.500 F
```

Results
Total DFT energy (no corrections) = -6.863 eV/atom
DOS at the Fermi energy = 3.05 states/eV/cell
M_tot = 0.7981 μB per atom